P | Computed, not measured: a geometry-optimized MgAs2Se structure at the PBE-GGA level of DFT.

As for the density: 4.8 Mg/m³. Its crystal system is tetragonal.

The structure belongs to space group P4/mmm (No. 123); the cell edges are 4.0289, 4.0289 and 5.3622 Å and the angles 90.00°, 90.00° and 90.00°. The asymmetric unit holds Mg at (0.0000, 0.0000, 0.0000), As at (0.5000, 0.5000, 0.2186) and Se at (0.0000, 0.0000, 0.5000).



Q | Computed, not measured: a geometry-optimized MgAs2Se structure at the PBE-GGA level of DFT.

As for the density: 5.0 Mg/m³. Its crystal system is monoclinic.

The structure belongs to space group Pm (No. 6); the cell edges are 3.5813, 5.4652 and 4.3083 Å and the angles 90.00°, 90.01° and 90.00°. The asymmetric unit holds Mg at (0.0000, 0.0000, 0.0000), As at (0.4988, 0.0000, 0.4975), As at (0.5013, 0.5000, 0.5203) and Se at (0.9942, 0.5000, 0.9906).



R | Computed, not measured: a geometry-optimized MgAs2Se structure at the PBE-GGA level of DFT.

As for the density: 5.2 Mg/m³. Its crystal system is tetragonal.

The structure belongs to space group I-4m2 (No. 119); the cell edges are 5.1287, 5.1287 and 6.1186 Å and the angles 90.00°, 90.00° and 90.00°. The asymmetric unit holds Mg at (0.0000, 0.0000, 0.0000), As at (0.0000, 0.0000, 0.5000), As at (0.0000, 0.5000, 0.7500) and Se at (0.0000, 0.5000, 0.2500).



Order from most stable to least stable according to the calculation: Q, P, R